GdGaSi | PBE | optimized geometry

Cell: 5.003 5.003 5.003 Å, 131.79 131.79 70.56°
Positions (direct):
Gd (0.000, 0.000, 0.000)
Ga (0.652, 0.652, 0.000)
Si (0.355, 0.355, 0.000)

Calculated total energy ... -0.568 Ry per atom
Formation energy (no corrections) ... -0.22 eV per atom